Entry 1:
The following is a DFT calculation (meta-GGA SCAN) of ZnIrPt2 at its PBEsol-relaxed geometry.

Cell: 2.740 2.740 7.621 Å, 90.00 90.00 90.00°
Sites, in units of the cell vectors:
Zn 0.000 0.000 0.000
Ir 0.500 0.500 0.243
Pt 0.000 0.000 0.492
Pt 0.500 0.500 0.759

As for the electronic total energy: -225.5 eV for the cell shown. As for the density of states at the Fermi level: 1.06 states/eV/atom. The space group is P4mm (99). The value obtained for the formation energy is -117.6 meV/atom.



Entry 2:
The following is a DFT calculation (meta-GGA SCAN) of ZnIr4Pt at its PBEsol-relaxed geometry.

Cell: 5.096 5.096 5.096 Å, 60.00 60.00 60.00°
Sites, in units of the cell vectors:
Zn 0.000 0.000 0.000
Ir 0.125 0.625 0.625
Ir 0.625 0.125 0.625
Ir 0.625 0.625 0.125
Ir 0.625 0.625 0.625
Pt 0.250 0.250 0.250

As for the electronic total energy: -364.6 eV for the cell shown. As for the density of states at the Fermi level: 1.54 states/eV/atom. The space group is F-43m (216). The value obtained for the formation energy is 584.1 meV/atom.



Entry 3:
The following is a DFT calculation (meta-GGA SCAN) of Zn2IrPt at its PBEsol-relaxed geometry.

Cell: 4.470 4.470 4.808 Å, 100.45 100.45 36.37°
Sites, in units of the cell vectors:
Zn 0.248 0.248 0.244
Zn 0.752 0.752 0.756
Ir 0.500 0.500 0.000
Pt 0.000 0.000 0.500

As for the electronic total energy: -169.4 eV for the cell shown. As for the density of states at the Fermi level: 0.51 states/eV/atom. The space group is C2/m (12). The value obtained for the formation energy is -281.3 meV/atom.



Entry 4:
The following is a DFT calculation (meta-GGA SCAN) of Zn2IrPt at its PBEsol-relaxed geometry.

Cell: 3.021 3.021 5.977 Å, 90.00 90.00 90.00°
Sites, in units of the cell vectors:
Zn 0.000 0.000 0.244
Zn 0.000 0.000 0.756
Ir 0.500 0.500 0.000
Pt 0.500 0.500 0.500

As for the electronic total energy: -169.8 eV for the cell shown. As for the density of states at the Fermi level: 0.31 states/eV/atom. The space group is P4/mmm (123). The value obtained for the formation energy is -376.4 meV/atom.



Entry 5:
The following is a DFT calculation (meta-GGA SCAN) of Zn2IrPt at its PBEsol-relaxed geometry.

Cell: 4.473 2.784 4.809 Å, 90.00 111.07 90.00°
Sites, in units of the cell vectors:
Zn 0.000 0.000 0.000
Zn 0.000 0.500 0.500
Ir 0.500 0.000 0.500
Pt 0.500 0.500 0.000

As for the electronic total energy: -169.5 eV for the cell shown. As for the density of states at the Fermi level: 0.47 states/eV/atom. The space group is P2/m (10). The value obtained for the formation energy is -286.0 meV/atom.



Entry 6:
The following is a DFT calculation (meta-GGA SCAN) of ZrIr2Pt at its PBEsol-relaxed geometry.

Cell: 4.492 4.492 4.492 Å, 60.00 60.00 60.00°
Sites, in units of the cell vectors:
Zr 0.000 0.000 0.000
Ir 0.500 0.500 0.500
Ir 0.750 0.750 0.750
Pt 0.250 0.250 0.250

As for the electronic total energy: -244.3 eV for the cell shown. As for the density of states at the Fermi level: 1.29 states/eV/atom. The space group is F-43m (216). The value obtained for the formation energy is -304.0 meV/atom.



Entry 7:
The following is a DFT calculation (meta-GGA SCAN) of ZrIrPt2 at its PBEsol-relaxed geometry.

Cell: 4.506 4.506 4.506 Å, 60.00 60.00 60.00°
Sites, in units of the cell vectors:
Zr 0.000 0.000 0.000
Ir 0.250 0.250 0.250
Pt 0.500 0.500 0.500
Pt 0.750 0.750 0.750

As for the electronic total energy: -244.4 eV for the cell shown. As for the density of states at the Fermi level: 1.23 states/eV/atom. The space group is F-43m (216). The value obtained for the formation energy is -545.4 meV/atom.



Entry 8:
The following is a DFT calculation (meta-GGA SCAN) of Pu5Ir3 at its PBEsol-relaxed geometry.

Cell: 8.170 8.170 8.170 Å, 96.53 96.53 140.58°
Sites, in units of the cell vectors:
Pu 0.085 0.779 0.864
Pu 0.221 0.085 0.305
Pu 0.250 0.750 0.500
Pu 0.279 0.585 0.864
Pu 0.415 0.279 0.695
Pu 0.585 0.721 0.305
Pu 0.721 0.415 0.136
Pu 0.750 0.250 0.500
Pu 0.779 0.915 0.695
Pu 0.915 0.221 0.136
Ir 0.162 0.338 0.500
Ir 0.250 0.250 0.000
Ir 0.338 0.838 0.177
Ir 0.662 0.162 0.823
Ir 0.750 0.750 0.000
Ir 0.838 0.662 0.500

As for the electronic total energy: -1532.7 eV for the cell shown. As for the density of states at the Fermi level: 3.39 states/eV/atom. The space group is I4/mcm (140). The value obtained for the formation energy is -294.1 meV/atom.



Entry 9:
The following is a DFT calculation (meta-GGA SCAN) of PuSn2Ir at its PBEsol-relaxed geometry.

Cell: 5.722 5.722 7.447 Å, 90.00 90.00 135.55°
Sites, in units of the cell vectors:
Pu 0.067 0.933 0.750
Pu 0.933 0.067 0.250
Sn 0.360 0.640 0.546
Sn 0.360 0.640 0.954
Sn 0.640 0.360 0.046
Sn 0.640 0.360 0.454
Ir 0.210 0.790 0.250
Ir 0.790 0.210 0.750

As for the electronic total energy: -508.9 eV for the cell shown. As for the density of states at the Fermi level: 2.70 states/eV/atom. The space group is Cmcm (63). The value obtained for the formation energy is -343.6 meV/atom.



Entry 10:
The following is a DFT calculation (meta-GGA SCAN) of Rb2ReIr at its PBEsol-relaxed geometry.

Cell: 5.348 5.348 5.348 Å, 60.00 60.00 60.00°
Sites, in units of the cell vectors:
Rb 0.250 0.250 0.250
Rb 0.750 0.750 0.750
Re 0.000 0.000 0.000
Ir 0.500 0.500 0.500

As for the electronic total energy: -173.8 eV for the cell shown. As for the density of states at the Fermi level: 0.83 states/eV/atom. The space group is Fm-3m (225). The value obtained for the formation energy is 2478.9 meV/atom.



Entry 11:
The following is a DFT calculation (meta-GGA SCAN) of RbIrRuW2 at its PBEsol-relaxed geometry.

Cell: 4.719 4.719 5.554 Å, 90.00 90.00 90.00°
Sites, in units of the cell vectors:
Rb 0.000 0.000 0.000
Ir 0.000 0.000 0.500
Ru 0.500 0.500 0.000
W 0.000 0.500 0.500
W 0.500 0.000 0.500

As for the electronic total energy: -253.3 eV for the cell shown. As for the density of states at the Fermi level: 0.94 states/eV/atom. The space group is P4/mmm (123). The value obtained for the formation energy is 2539.5 meV/atom.



Entry 12:
The following is a DFT calculation (meta-GGA SCAN) of RbSb3Ir at its PBEsol-relaxed geometry.

Cell: 5.539 5.539 5.539 Å, 90.00 90.00 90.00°
Sites, in units of the cell vectors:
Rb 0.000 0.000 0.000
Sb 0.000 0.000 0.500
Sb 0.000 0.500 0.000
Sb 0.500 0.000 0.000
Ir 0.500 0.500 0.500

As for the electronic total energy: -190.2 eV for the cell shown. As for the density of states at the Fermi level: 0.85 states/eV/atom. The space group is Pm-3m (221). As for the energy relative to the elements, uncorrected: 2684 meV per atom.



Entry 13:
The following is a DFT calculation (meta-GGA SCAN) of RbSb2TeIr at its PBEsol-relaxed geometry.

Cell: 5.069 5.069 5.961 Å, 90.00 90.00 90.00°
Sites, in units of the cell vectors:
Rb 0.000 0.000 0.000
Sb 0.000 0.500 0.500
Sb 0.500 0.000 0.500
Te 0.500 0.500 0.000
Ir 0.500 0.500 0.500

As for the electronic total energy: -203.6 eV for the cell shown. As for the density of states at the Fermi level: 0.31 states/eV/atom. The space group is P4/mmm (123). As for the energy relative to the elements, uncorrected: 5 meV per atom.



Entry 14:
The following is a DFT calculation (meta-GGA SCAN) of RbSrScIr2 at its PBEsol-relaxed geometry.

Cell: 5.013 5.013 4.766 Å, 90.00 90.00 90.00°
Sites, in units of the cell vectors:
Rb 0.000 0.000 0.000
Sr 0.500 0.500 0.500
Sc 0.000 0.000 0.500
Ir 0.000 0.500 0.000
Ir 0.500 0.000 0.000

As for the electronic total energy: -190.4 eV for the cell shown. As for the density of states at the Fermi level: 0.96 states/eV/atom. The space group is P4/mmm (123). The value obtained for the formation energy is 1816.7 meV/atom.



Entry 15:
The following is a DFT calculation (meta-GGA SCAN) of RbIr2Se2 at its PBEsol-relaxed geometry.

Cell: 7.417 7.417 7.417 Å, 148.83 148.83 44.66°
Sites, in units of the cell vectors:
Rb 0.000 0.000 0.000
Ir 0.250 0.750 0.500
Ir 0.750 0.250 0.500
Se 0.358 0.358 0.000
Se 0.642 0.642 0.000

As for the electronic total energy: -204.2 eV for the cell shown. As for the density of states at the Fermi level: 0.47 states/eV/atom. The space group is I4/mmm (139). As for the energy relative to the elements, uncorrected: -214 meV per atom.



Entry 16:
The following is a DFT calculation (meta-GGA SCAN) of Rb2IrSe at its PBEsol-relaxed geometry.

Cell: 11.594 11.594 11.594 Å, 158.96 158.96 29.93°
Sites, in units of the cell vectors:
Rb 0.125 0.625 0.000
Rb 0.375 0.375 0.500
Rb 0.625 0.125 0.000
Rb 0.875 0.875 0.500
Ir 0.000 0.000 0.000
Ir 0.750 0.250 0.500
Se 0.250 0.750 0.500
Se 0.500 0.500 0.000

As for the electronic total energy: -259.8 eV for the cell shown. As for the density of states at the Fermi level: 0.35 states/eV/atom. The space group is I-42d (122). As for the energy relative to the elements, uncorrected: 684 meV per atom.



Entry 17:
The following is a DFT calculation (meta-GGA SCAN) of RbIrSe2 at its PBEsol-relaxed geometry.

Cell: 6.542 6.542 6.542 Å, 108.74 108.74 110.95°
Sites, in units of the cell vectors:
Rb 0.000 0.000 0.000
Rb 0.750 0.250 0.500
Ir 0.250 0.750 0.500
Ir 0.500 0.500 0.000
Se 0.236 0.125 0.611
Se 0.375 0.764 0.889
Se 0.514 0.625 0.389
Se 0.875 0.486 0.111

As for the electronic total energy: -268.5 eV for the cell shown. As for the density of states at the Fermi level: 0.27 states/eV/atom. The space group is I-42d (122). As for the energy relative to the elements, uncorrected: -562 meV per atom.



Entry 18:
The following is a DFT calculation (meta-GGA SCAN) of Rb2IrSe2 at its PBEsol-relaxed geometry.

Cell: 10.727 10.727 10.727 Å, 159.88 159.88 28.60°
Sites, in units of the cell vectors:
Rb 0.104 0.104 0.000
Rb 0.896 0.896 0.000
Ir 0.500 0.500 0.000
Se 0.250 0.750 0.500
Se 0.750 0.250 0.500

As for the electronic total energy: -150.7 eV for the cell shown. As for the density of states at the Fermi level: 0.84 states/eV/atom. The space group is I4/mmm (139). As for the energy relative to the elements, uncorrected: 406 meV per atom.



Entry 19:
The following is a DFT calculation (meta-GGA SCAN) of Rb2SiIr at its PBEsol-relaxed geometry.

Cell: 9.227 9.227 9.227 Å, 93.42 93.42 151.73°
Sites, in units of the cell vectors:
Rb 0.375 0.164 0.289
Rb 0.836 0.125 0.211
Rb 0.875 0.086 0.711
Rb 0.914 0.625 0.789
Si 0.250 0.750 0.500
Si 0.500 0.500 0.000
Ir 0.000 0.000 0.000
Ir 0.750 0.250 0.500

As for the electronic total energy: -243.5 eV for the cell shown. As for the density of states at the Fermi level: 0.56 states/eV/atom. The space group is I-42d (122). As for the energy relative to the elements, uncorrected: 214 meV per atom.



Entry 20:
The following is a DFT calculation (meta-GGA SCAN) of RbSi2Ir2 at its PBEsol-relaxed geometry.

Cell: 7.723 7.723 2.775 Å, 90.00 90.00 90.00°
Sites, in units of the cell vectors:
Rb 0.000 0.000 0.000
Rb 0.500 0.500 0.000
Si 0.135 0.365 0.000
Si 0.365 0.865 0.000
Si 0.635 0.135 0.000
Si 0.865 0.635 0.000
Ir 0.137 0.637 0.500
Ir 0.363 0.137 0.500
Ir 0.637 0.863 0.500
Ir 0.863 0.363 0.500

As for the electronic total energy: -365.9 eV for the cell shown. As for the density of states at the Fermi level: 0.40 states/eV/atom. The space group is P4/mbm (127). As for the energy relative to the elements, uncorrected: 8 meV per atom.